(1)
## PaInBi (PBE)

Data for a geometry-optimized PaInBi structure.

Cell lengths 4.423, 4.423, 8.738 Å; angles 90.00, 90.00, 90.00 degrees
Positions (direct):
Pa 0.000 0.500 0.712
Pa 0.500 0.000 0.288
In 0.000 0.000 0.000
In 0.500 0.500 0.000
Bi 0.000 0.500 0.342
Bi 0.500 0.000 0.658

Summary:
offset from the most stable computed form = 0 meV/atom
spin magnetization = 0.00 μB/f.u.
final energy = -32.68 eV/cell

***

(2)
## Pa2InBi7 (PBE)

Data for a geometry-optimized Pa2InBi7 structure.

Cell lengths 6.010, 8.518, 8.518 Å; angles 108.24, 90.00, 90.00 degrees
Positions (direct):
Pa 0.500 0.722 0.278
Pa 0.500 0.278 0.722
In 0.000 0.000 0.000
Bi 0.000 0.732 0.268
Bi 0.000 0.268 0.732
Bi 0.500 0.099 0.325
Bi 0.500 0.901 0.675
Bi 0.500 0.325 0.099
Bi 0.500 0.675 0.901
Bi 0.500 0.500 0.500

Summary:
spin magnetization = 0.00 μB/f.u.
final energy = -45.82 eV/cell